First-principles (GGA-PBE) data for Nb3Si4Ni2 after structural relaxation, as listed in Alexandria via LeMat-Bulk.

The volume is 128 Å³/cell. As for the space group: C2/m. For the formation energy (no corrections), the calculation gives -5.034 eV/f.u.

Cell lengths 5.177, 5.177, 7.493 Å; angles 109.59, 109.59, 43.12 degrees
Fractional coordinates of all 9 atoms:
Nb (0.000, 0.000, 0.000)
Nb (0.379, 0.379, 0.302)
Nb (0.621, 0.621, 0.698)
Si (0.090, 0.090, 0.412)
Si (0.283, 0.283, 0.931)
Si (0.717, 0.717, 0.069)
Si (0.910, 0.910, 0.588)
Ni (0.324, 0.324, 0.663)
Ni (0.676, 0.676, 0.337)

---

First-principles (GGA-PBE) data for SmNbNi10 after structural relaxation, as listed in Alexandria via LeMat-Bulk.

The volume is 158 Å³/cell. As for the space group: Pmmm. The value obtained for the energy of formation is -0.164 eV/atom.

Cell lengths 3.973, 4.780, 8.308 Å; angles 90.00, 90.00, 90.00 degrees
Fractional coordinates of all 12 atoms:
Sm (0.000, 0.000, 0.000)
Nb (0.000, 0.500, 0.500)
Ni (0.000, 0.000, 0.344)
Ni (0.000, 0.000, 0.656)
Ni (0.000, 0.500, 0.184)
Ni (0.000, 0.500, 0.816)
Ni (0.500, 0.000, 0.500)
Ni (0.500, 0.256, 0.261)
Ni (0.500, 0.256, 0.739)
Ni (0.500, 0.500, 0.000)
Ni (0.500, 0.744, 0.261)
Ni (0.500, 0.744, 0.739)

---

First-principles (GGA-PBE) data for SmNb2Ni9 after structural relaxation, as listed in Alexandria via LeMat-Bulk.

The volume is 160 Å³/cell. As for the space group: R-3m. The value obtained for the energy of formation is -0.253 eV/atom.

Cell lengths 8.367, 8.367, 8.367 Å; angles 33.67, 33.67, 33.67 degrees
Fractional coordinates of all 12 atoms:
Sm (0.000, 0.000, 0.000)
Nb (0.143, 0.143, 0.143)
Nb (0.857, 0.857, 0.857)
Ni (0.082, 0.589, 0.589)
Ni (0.334, 0.334, 0.334)
Ni (0.411, 0.411, 0.918)
Ni (0.411, 0.918, 0.411)
Ni (0.500, 0.500, 0.500)
Ni (0.589, 0.082, 0.589)
Ni (0.589, 0.589, 0.082)
Ni (0.666, 0.666, 0.666)
Ni (0.918, 0.411, 0.411)